(1)
A plane-wave DFT calculation with PBE was carried out for an optimized crystal structure of UNb3.

The space group is Imm2 (No. 44) and the conventional cell measures 2.796, 9.629 and 5.760 Å, with angles of 90.00, 90.00 and 90.00 degrees. Symmetry generates all atoms from U at (0.000, 0.000, 0.000), Nb at (0.000, 0.252, 0.743) and Nb at (0.000, 0.500, 0.017).

The formation energy is 0.2872 eV per atom. As for the mass density: 11.07 g/cm3. The offset from the most stable computed form comes out at 175 meV/atom. Its magnetic moment is 1.02 μB per cell. As for the calculated total energy: -10.09 eV per atom.

=====

(2)
A plane-wave DFT calculation with PBE was carried out for an optimized crystal structure of K2H5Pd.

The space group is Cmcm (No. 63) and the conventional cell measures 3.954, 12.238 and 10.549 Å, with angles of 90.00, 90.00 and 90.00 degrees. Symmetry generates all atoms from K at (0.000, 0.139, 0.085), H at (0.000, 0.059, 0.642), H at (0.000, 0.248, 0.636), H at (0.000, 0.344, 0.250) and Pd at (0.000, 0.155, 0.750).

As for the mass density: 2.47 g/cm3. The offset from the most stable computed form comes out at 109 meV/atom. Its magnetic moment is 0.00 μB per cell. As for the calculated total energy: -3.15 eV per atom.

=====

(3)
A plane-wave DFT calculation with PBE was carried out for an optimized crystal structure of ZnSeBr2.

The space group is I-4m2 (No. 119) and the conventional cell measures 3.892, 3.892 and 14.390 Å, with angles of 90.00, 90.00 and 90.00 degrees. Symmetry generates all atoms from Zn at (0.000, 0.000, 0.000), Se at (0.000, 0.500, 0.250), Br at (0.000, 0.000, 0.500) and Br at (0.000, 0.500, 0.750).

As for the mass density: 4.63 g/cm3. The offset from the most stable computed form comes out at 501 meV/atom. Its magnetic moment is 0.00 μB per cell. As for the calculated total energy: -1.96 eV per atom. The uncorrected formation energy is 63 meV/atom.

=====

Copy entry 1 word for word.
A plane-wave DFT calculation with PBE was carried out for an optimized crystal structure of UNb3.

The space group is Imm2 (No. 44) and the conventional cell measures 2.796, 9.629 and 5.760 Å, with angles of 90.00, 90.00 and 90.00 degrees. Symmetry generates all atoms from U at (0.000, 0.000, 0.000), Nb at (0.000, 0.252, 0.743) and Nb at (0.000, 0.500, 0.017).

The formation energy is 0.2872 eV per atom. As for the mass density: 11.07 g/cm3. The offset from the most stable computed form comes out at 175 meV/atom. Its magnetic moment is 1.02 μB per cell. As for the calculated total energy: -10.09 eV per atom.

=====

Please write out number 2 again, unchanged.
A plane-wave DFT calculation with PBE was carried out for an optimized crystal structure of K2H5Pd.

The space group is Cmcm (No. 63) and the conventional cell measures 3.954, 12.238 and 10.549 Å, with angles of 90.00, 90.00 and 90.00 degrees. Symmetry generates all atoms from K at (0.000, 0.139, 0.085), H at (0.000, 0.059, 0.642), H at (0.000, 0.248, 0.636), H at (0.000, 0.344, 0.250) and Pd at (0.000, 0.155, 0.750).

As for the mass density: 2.47 g/cm3. The offset from the most stable computed form comes out at 109 meV/atom. Its magnetic moment is 0.00 μB per cell. As for the calculated total energy: -3.15 eV per atom.

=====

- Which value of offset from the most stable computed form does entry 3 give?
  501 meV/atom

=====

Please write out number 3 again, unchanged.
A plane-wave DFT calculation with PBE was carried out for an optimized crystal structure of ZnSeBr2.

The space group is I-4m2 (No. 119) and the conventional cell measures 3.892, 3.892 and 14.390 Å, with angles of 90.00, 90.00 and 90.00 degrees. Symmetry generates all atoms from Zn at (0.000, 0.000, 0.000), Se at (0.000, 0.500, 0.250), Br at (0.000, 0.000, 0.500) and Br at (0.000, 0.500, 0.750).

As for the mass density: 4.63 g/cm3. The offset from the most stable computed form comes out at 501 meV/atom. Its magnetic moment is 0.00 μB per cell. As for the calculated total energy: -1.96 eV per atom. The uncorrected formation energy is 63 meV/atom.